[1]
First-principles (PBE-GGA) data for crystalline SbAsOs2Pd at its relaxed geometry, as listed in the Alexandria database.

The space group is P4/mmm (No. 123) and the conventional cell measures 4.609, 4.609 and 4.674 Å, with angles of 90.00, 90.00 and 90.00 degrees. The inequivalent atoms are Sb at (0.000, 0.000, 0.000), As at (0.500, 0.500, 0.500), Os at (0.000, 0.500, 0.500) and Pd at (0.500, 0.500, 0.000).

As for the uncorrected energy: -31.119 eV/f.u. Its crystal system is tetragonal.

---

[2]
First-principles (PBE-GGA) data for crystalline AsOsPdSe2 at its relaxed geometry, as listed in the Alexandria database.

The space group is P4/mmm (No. 123) and the conventional cell measures 4.983, 4.983 and 4.639 Å, with angles of 90.00, 90.00 and 90.00 degrees. The inequivalent atoms are As at (0.000, 0.000, 0.000), Os at (0.000, 0.000, 0.500), Pd at (0.500, 0.500, 0.000) and Se at (0.000, 0.500, 0.500).

As for the uncorrected energy: -23.850 eV/f.u. Its crystal system is tetragonal.

---

[3]
First-principles (PBE-GGA) data for crystalline TeAsOsPd2 at its relaxed geometry, as listed in the Alexandria database.

The space group is P4/mmm (No. 123) and the conventional cell measures 4.695, 4.695 and 4.640 Å, with angles of 90.00, 90.00 and 90.00 degrees. The inequivalent atoms are Te at (0.000, 0.000, 0.000), As at (0.500, 0.500, 0.500), Os at (0.500, 0.500, 0.000) and Pd at (0.000, 0.500, 0.500).

As for the uncorrected energy: -26.255 eV/f.u. Its crystal system is tetragonal.

---

[4]
First-principles (PBE-GGA) data for crystalline PmAs2Os at its relaxed geometry, as listed in the Alexandria database.

The space group is R-3m (No. 166, hexagonal axes) and the conventional cell measures 4.1565, 4.1565 and 15.9067 Å, with angles of 90.00, 90.00 and 120.00 degrees. The inequivalent atoms are Pm at (0.0000, 0.0000, 0.0000), As at (0.0000, 0.0000, 0.2244) and Os at (0.0000, 0.0000, 0.5000).

Its crystal system is trigonal. The calculation puts the formation energy from the elements at -575 meV per atom.

---

Short version: spin magnetization = 0.00 0.00 0.03 0.00 μB/f.u., in the order given.